1.
The following is a GGA-PBE calculation of a geometry-optimized FeCu2Rh structure, from Alexandria.

Cell lengths 8.725, 8.725, 8.725 Å; angles 17.24, 17.24, 17.24 degrees
Site moments in Bohr magnetons follow the coordinates.
Fractional coordinates of all 4 atoms:
1 Cu 0.502 0.502 0.502  0.06
2 Rh 0.750 0.750 0.750  0.34
3 Cu 0.998 0.998 0.998  0.06
4 Fe 0.250 0.250 0.250  2.59

The total magnetization comes out at 2.94 μB per formula unit. The space group is R-3m. As for the formation energy: 0.124 eV per atom. The density of states at the Fermi level is 4.69 states/eV/cell.


2.
The following is a GGA-PBE calculation of a geometry-optimized Fe2CuRh structure, from Alexandria.

Cell lengths 2.579, 2.579, 8.323 Å; angles 90.00, 90.00, 112.16 degrees
Site moments in Bohr magnetons follow the coordinates.
Fractional coordinates of all 4 atoms:
1 Cu 0.500 0.500 0.759  0.09
2 Rh 0.000 0.000 0.495  0.60
3 Fe 0.500 0.500 0.241  2.76
4 Fe 0.000 0.000 0.005  2.64

The total magnetization comes out at 6.04 μB per formula unit. The space group is Cmm2. As for the formation energy: 0.106 eV per atom. The density of states at the Fermi level is 3.75 states/eV/cell.


3.
The following is a GGA-PBE calculation of a geometry-optimized FeCu2Rh structure, from Alexandria.

Cell lengths 4.490, 4.490, 2.710 Å; angles 90.00, 90.00, 110.25 degrees
Site moments in Bohr magnetons follow the coordinates.
Fractional coordinates of all 4 atoms:
1 Rh 0.000 0.500 0.500  0.63
2 Cu 0.000 0.000 0.000  0.12
3 Fe 0.500 0.000 0.500  2.98
4 Cu 0.500 0.500 0.000  0.12

The total magnetization comes out at 3.81 μB per formula unit. The space group is Cmmm. As for the formation energy: 0.102 eV per atom. The density of states at the Fermi level is 3.05 states/eV/cell.